First-principles (PBE) data for an optimized crystal structure of MgSc2CdHg4, as listed in the Alexandria database.

Computed properties:
D(E_F)	0.3628	states/eV per atom
V	170	Å³ per cell
space-group type	No. 166
formation energy from the elements	-0.33	eV per atom
electronic total energy	-19.0	eV per cell

Unit cell a=8.5618 b=8.5618 c=8.5618 alpha=33.49 beta=33.49 gamma=33.49
Last column: nearest neighbours and their distance in Å.
Fractional positions:
1 Mg 0.0000 0.0000 0.0000  8 Hg 2.96-3.00
2 Sc 0.2479 0.2479 0.2479  8 Hg 2.98-3.07
3 Sc 0.7521 0.7521 0.7521  8 Hg 2.98-3.07
4 Cd 0.5000 0.5000 0.5000  8 Hg 3.05-3.11
5 Hg 0.1220 0.1220 0.1220  1 Mg 2.96, 4 Sc 2.98-3.05, 3 Cd 3.05
6 Hg 0.3717 0.3717 0.3717  3 Mg 3.00, 4 Sc 3.00-3.07, 1 Cd 3.11
7 Hg 0.6283 0.6283 0.6283  3 Mg 3.00, 4 Sc 3.00-3.07, 1 Cd 3.11
8 Hg 0.8780 0.8780 0.8780  1 Mg 2.96, 4 Sc 2.98-3.05, 3 Cd 3.05